(1)
Below is an optimized crystal structure of KLiMoBr6, with properties calculated at the PBE level. Values from VASP.

The structure in Quantum ESPRESSO input format:
```
&SYSTEM
  ibrav = 0, nat = 18, ntyp = 4
/
ATOMIC_SPECIES
K 39.10 K.upf
Li 6.94 Li.upf
Mo 95.94 Mo.upf
Br 79.90 Br.upf
CELL_PARAMETERS angstrom
-4.853 3.719 3.254
-0.446 -1.054 -6.831
-7.679 -12.091 2.367
ATOMIC_POSITIONS angstrom
K 0.000 0.000 0.000
K -3.840 -6.045 1.183
Li -3.835 -2.486 -2.877
Li -9.143 -6.940 1.668
Mo -5.303 -0.895 0.484
Mo -7.674 -8.531 -1.694
Br -4.522 -0.062 -1.810
Br -6.057 1.480 1.087
Br -7.158 -7.532 -3.997
Br -6.921 -10.906 -2.297
Br -4.700 -3.227 -0.390
Br -7.740 -1.263 -0.220
Br -9.996 -9.024 -2.662
Br -5.820 -1.894 2.787
Br -5.237 -8.163 -0.990
Br -2.982 -0.402 1.452
Br -8.277 -6.199 -0.819
Br -8.456 -9.364 0.600
```

## Properties
The density of states at the Fermi level comes out at 16.80 states/eV per cell. Its uncorrected energy is -3.6503 eV per atom. The value obtained for the volume is 33.504 A^3/atom. The spin magnetization comes out at 2.0 μB per formula unit.

=====

(2)
Below is an optimized crystal structure of KLi2MoBr8, with properties calculated at the PBE level. Values from VASP.

The structure in Quantum ESPRESSO input format:
```
&SYSTEM
  ibrav = 0, nat = 12, ntyp = 4
/
ATOMIC_SPECIES
K 39.10 K.upf
Li 6.94 Li.upf
Mo 95.94 Mo.upf
Br 79.90 Br.upf
CELL_PARAMETERS angstrom
-1.892 5.344 -3.135
-5.734 -0.131 4.744
0.820 5.422 7.772
ATOMIC_POSITIONS angstrom
K 0.410 2.711 3.886
Li -2.453 6.402 5.196
Li -4.353 4.232 4.185
Mo 0.000 0.000 0.000
Br -4.206 1.822 5.382
Br -5.719 3.616 2.010
Br -2.610 5.113 -0.768
Br -2.601 8.812 3.999
Br -1.088 7.019 7.371
Br -4.197 5.521 10.149
Br -4.717 5.847 6.025
Br -2.090 4.788 3.356
```

## Properties
The density of states at the Fermi level comes out at 5.85 states/eV per cell. Its uncorrected energy is -3.4104 eV per atom. The value obtained for the volume is 33.888 A^3/atom. The spin magnetization comes out at 1.0 μB per formula unit.

=====

(3)
Below is an optimized crystal structure of KNaLiBr3, with properties calculated at the PBE level. Values from VASP.

The structure in Quantum ESPRESSO input format:
```
&SYSTEM
  ibrav = 0, nat = 12, ntyp = 4
/
ATOMIC_SPECIES
K 39.10 K.upf
Na 22.99 Na.upf
Li 6.94 Li.upf
Br 79.90 Br.upf
CELL_PARAMETERS angstrom
-2.030 -2.821 2.594
4.855 -6.774 -3.568
5.479 3.110 7.671
ATOMIC_POSITIONS angstrom
K 6.703 -5.140 5.094
K 1.601 -1.345 1.603
Na 3.428 -4.727 -0.645
Na 4.876 -1.758 7.343
Li 3.264 0.526 4.940
Li 5.040 -7.011 1.757
Br 6.060 -4.695 1.449
Br 3.618 -7.730 -0.138
Br 1.566 -4.612 1.648
Br 2.244 -1.790 5.248
Br 6.737 -1.873 5.050
Br 4.686 1.245 6.835
```

## Properties
The density of states at the Fermi level comes out at 0.00 states/eV per cell. Its uncorrected energy is -3.1547 eV per atom. The value obtained for the volume is 31.550 A^3/atom. The spin magnetization comes out at 0.0 μB per formula unit.

=====

(4)
Below is an optimized crystal structure of KNa2LiBr4, with properties calculated at the PBE level. Values from VASP.

The structure in Quantum ESPRESSO input format:
```
&SYSTEM
  ibrav = 0, nat = 16, ntyp = 4
/
ATOMIC_SPECIES
K 39.10 K.upf
Na 22.99 Na.upf
Li 6.94 Li.upf
Br 79.90 Br.upf
CELL_PARAMETERS angstrom
4.297 0.000 0.000
-2.149 7.297 0.000
0.000 0.000 14.978
ATOMIC_POSITIONS angstrom
K 0.000 1.716 11.234
K 2.149 5.581 3.745
Na 0.000 5.397 8.217
Na 2.149 1.900 0.728
Na 2.149 1.900 6.761
Na 0.000 5.397 14.251
Li 2.149 5.028 11.234
Li 0.000 2.269 3.745
Br 0.000 3.814 1.784
Br 2.149 3.483 9.274
Br 2.149 3.483 13.194
Br 0.000 3.814 5.705
Br 0.000 0.000 7.489
Br 0.000 0.000 0.000
Br 0.000 6.412 11.234
Br 2.149 0.885 3.745
```

## Properties
The density of states at the Fermi level comes out at 0.00 states/eV per cell. Its uncorrected energy is -3.1314 eV per atom. The value obtained for the volume is 29.353 A^3/atom. The spin magnetization comes out at 0.1 μB per formula unit.

=====

(5)
Below is an optimized crystal structure of KLiNdBr5, with properties calculated at the PBE level. Values from VASP.

The structure in Quantum ESPRESSO input format:
```
&SYSTEM
  ibrav = 0, nat = 16, ntyp = 4
/
ATOMIC_SPECIES
K 39.10 K.upf
Li 6.94 Li.upf
Nd 144.24 Nd.upf
Br 79.90 Br.upf
CELL_PARAMETERS angstrom
-3.475 7.134 0.609
-5.368 -5.052 -3.000
1.047 -3.197 10.246
ATOMIC_POSITIONS angstrom
K -4.435 -1.531 0.841
K -3.361 0.415 7.014
Li -3.798 2.571 2.056
Li -3.998 -3.687 5.799
Nd 0.523 -1.599 5.123
Nd 0.000 0.000 0.000
Br -4.936 -4.754 -0.114
Br -2.861 3.638 7.969
Br -4.793 4.566 0.836
Br -3.003 -5.682 7.019
Br -2.390 3.237 4.064
Br -5.407 -4.353 3.791
Br -5.460 0.847 3.014
Br -2.337 -1.963 4.842
Br -2.611 1.240 0.194
Br -5.185 -2.356 7.662
```

## Properties
The density of states at the Fermi level comes out at 0.00 states/eV per cell. Its uncorrected energy is -3.7756 eV per atom. The value obtained for the volume is 37.304 A^3/atom. The spin magnetization comes out at 0.0 μB per formula unit.

=====

(6)
Below is an optimized crystal structure of KLi2NdBr6, with properties calculated at the PBE level. Values from VASP.

The structure in Quantum ESPRESSO input format:
```
&SYSTEM
  ibrav = 0, nat = 10, ntyp = 4
/
ATOMIC_SPECIES
K 39.10 K.upf
Li 6.94 Li.upf
Nd 144.24 Nd.upf
Br 79.90 Br.upf
CELL_PARAMETERS angstrom
7.357 0.000 0.000
3.679 6.370 0.000
3.678 2.124 6.671
ATOMIC_POSITIONS angstrom
K 11.035 6.370 3.977
Li 7.357 4.246 2.995
Li 3.679 2.124 6.459
Nd 3.679 2.123 0.295
Br 6.291 2.133 1.575
Br 6.058 6.225 1.574
Br 9.720 4.381 1.574
Br 7.987 6.324 5.002
Br 8.840 2.663 5.002
Br 5.243 3.754 5.002
```

## Properties
The density of states at the Fermi level comes out at 0.00 states/eV per cell. Its uncorrected energy is -3.6666 eV per atom. The value obtained for the volume is 31.257 A^3/atom. The spin magnetization comes out at 0.0 μB per formula unit.

=====

(7)
Below is an optimized crystal structure of KLiNd2Br8, with properties calculated at the PBE level. Values from VASP.

The structure in Quantum ESPRESSO input format:
```
&SYSTEM
  ibrav = 0, nat = 12, ntyp = 4
/
ATOMIC_SPECIES
K 39.10 K.upf
Li 6.94 Li.upf
Nd 144.24 Nd.upf
Br 79.90 Br.upf
CELL_PARAMETERS angstrom
7.165 0.339 -0.005
0.456 7.097 -0.009
0.007 0.011 8.946
ATOMIC_POSITIONS angstrom
K 0.004 0.005 4.473
Li 0.000 0.000 0.000
Nd 3.815 3.727 6.768
Nd 3.812 3.721 2.163
Br 1.769 5.704 1.926
Br 5.207 5.156 8.936
Br 5.855 1.738 1.928
Br 5.859 1.744 7.005
Br 2.421 2.291 -0.004
Br 1.773 5.709 7.003
Br 5.110 5.087 4.463
Br 2.518 2.360 4.468
```

## Properties
The density of states at the Fermi level comes out at 0.00 states/eV per cell. Its uncorrected energy is -3.9256 eV per atom. The value obtained for the volume is 37.793 A^3/atom. The spin magnetization comes out at 0.0 μB per formula unit.

=====

(8)
Below is an optimized crystal structure of K2LiNiBr6, with properties calculated at the PBE level. Values from VASP.

The structure in Quantum ESPRESSO input format:
```
&SYSTEM
  ibrav = 0, nat = 20, ntyp = 4
/
ATOMIC_SPECIES
K 39.10 K.upf
Li 6.94 Li.upf
Ni 58.69 Ni.upf
Br 79.90 Br.upf
CELL_PARAMETERS angstrom
-4.204 5.612 1.972
-0.569 1.832 7.027
8.261 10.296 1.761
ATOMIC_POSITIONS angstrom
K -1.196 10.281 8.550
K 4.684 7.459 2.210
K 4.153 14.524 7.877
K -0.665 3.216 2.883
Li -0.679 6.948 5.685
Li 4.167 10.792 5.075
Ni 0.000 0.000 0.000
Ni 1.744 8.870 5.380
Br -0.625 9.492 5.026
Br 1.122 7.675 7.456
Br 1.395 6.794 4.078
Br 4.113 8.248 5.734
Br 2.366 10.065 3.304
Br 2.093 10.946 6.682
Br 4.164 13.494 4.371
Br 6.053 11.529 6.997
Br 6.348 10.577 3.346
Br -0.676 4.246 6.389
Br -2.565 6.211 3.763
Br -2.861 7.163 7.414
```

## Properties
The density of states at the Fermi level comes out at 5.86 states/eV per cell. Its uncorrected energy is -3.0656 eV per atom. The value obtained for the volume is 29.032 A^3/atom. The spin magnetization comes out at 1.0 μB per formula unit.

=====

(9)
Below is an optimized crystal structure of KLi2NpBr6, with properties calculated at the PBE level. Values from VASP.

The structure in Quantum ESPRESSO input format:
```
&SYSTEM
  ibrav = 0, nat = 10, ntyp = 4
/
ATOMIC_SPECIES
K 39.10 K.upf
Li 6.94 Li.upf
Np 237.00 Np.upf
Br 79.90 Br.upf
CELL_PARAMETERS angstrom
7.341 0.000 0.001
3.671 6.357 0.000
3.671 2.119 6.683
ATOMIC_POSITIONS angstrom
K 11.012 6.358 3.986
Li 7.342 4.239 3.034
Li 3.671 2.119 6.460
Np 3.671 2.119 0.272
Br 6.267 2.134 1.587
Br 6.055 6.221 1.587
Br 9.701 4.361 1.587
Br 7.968 6.304 5.003
Br 8.819 2.663 5.003
Br 5.239 3.747 5.003
```

## Properties
The density of states at the Fermi level comes out at 4.63 states/eV per cell. Its uncorrected energy is -4.2586 eV per atom. The value obtained for the volume is 31.192 A^3/atom. The spin magnetization comes out at 4.0 μB per formula unit.

=====

(10)
Below is an optimized crystal structure of K2LiNpBr6, with properties calculated at the PBE level. Values from VASP.

The structure in Quantum ESPRESSO input format:
```
&SYSTEM
  ibrav = 0, nat = 20, ntyp = 4
/
ATOMIC_SPECIES
K 39.10 K.upf
Li 6.94 Li.upf
Np 237.00 Np.upf
Br 79.90 Br.upf
CELL_PARAMETERS angstrom
-4.710 5.943 -0.739
-5.151 -4.589 -4.074
-4.974 -2.697 9.328
ATOMIC_POSITIONS angstrom
K -6.137 -4.805 -1.461
K -9.138 -1.542 4.289
K -8.699 3.462 5.976
K -5.698 0.199 0.225
Li -2.355 2.971 -0.370
Li -5.063 -3.643 2.627
Np -4.842 1.623 4.294
Np -2.576 -2.295 -2.037
Br -5.316 -1.558 -2.611
Br -10.636 -0.360 1.306
Br -9.519 0.215 7.125
Br -4.200 -0.983 3.208
Br -7.274 -2.641 1.171
Br -12.650 -1.493 5.043
Br -7.561 1.298 3.343
Br -2.186 0.150 -0.529
Br -8.242 2.272 -0.419
Br -10.687 -4.108 2.785
Br -6.594 -3.615 4.934
Br -4.149 2.765 1.729
```

## Properties
The density of states at the Fermi level comes out at 10.07 states/eV per cell. Its uncorrected energy is -4.2508 eV per atom. The value obtained for the volume is 33.298 A^3/atom. The spin magnetization comes out at 4.0 μB per formula unit.

=====

(11)
Below is an optimized crystal structure of KLi2NpBr8, with properties calculated at the PBE level. Values from VASP.

The structure in Quantum ESPRESSO input format:
```
&SYSTEM
  ibrav = 0, nat = 12, ntyp = 4
/
ATOMIC_SPECIES
K 39.10 K.upf
Li 6.94 Li.upf
Np 237.00 Np.upf
Br 79.90 Br.upf
CELL_PARAMETERS angstrom
6.798 0.595 -0.007
0.626 6.687 -0.005
0.013 0.012 9.602
ATOMIC_POSITIONS angstrom
K 0.007 0.006 4.801
Li 3.721 3.650 6.330
Li 3.716 3.645 3.260
Np 0.000 0.000 0.000
Br 1.881 5.232 1.930
Br 5.450 5.564 9.592
Br 5.546 2.052 1.929
Br 5.556 2.063 7.660
Br 1.987 1.731 -0.001
Br 1.892 5.243 7.661
Br 5.063 5.011 4.791
Br 2.374 2.283 4.799
```

## Properties
The density of states at the Fermi level comes out at 8.40 states/eV per cell. Its uncorrected energy is -3.8918 eV per atom. The value obtained for the volume is 36.078 A^3/atom. The spin magnetization comes out at 2.0 μB per formula unit.

=====

(12)
Below is an optimized crystal structure of KLiNpBr5, with properties calculated at the PBE level. Values from VASP.

The structure in Quantum ESPRESSO input format:
```
&SYSTEM
  ibrav = 0, nat = 16, ntyp = 4
/
ATOMIC_SPECIES
K 39.10 K.upf
Li 6.94 Li.upf
Np 237.00 Np.upf
Br 79.90 Br.upf
CELL_PARAMETERS angstrom
7.950 -0.019 -0.096
-2.339 7.598 -0.096
-2.444 -3.301 9.822
ATOMIC_POSITIONS angstrom
K 0.714 4.061 2.360
K 2.454 0.218 7.271
Li 4.154 1.514 2.360
Li -0.986 2.765 7.271
Np -1.222 -1.650 4.911
Np 0.000 0.000 0.000
Br -1.995 6.066 2.360
Br 5.163 -1.787 7.271
Br 6.281 2.043 1.059
Br -3.113 2.236 8.572
Br 4.269 -0.675 3.661
Br -1.101 4.954 5.970
Br 3.447 3.258 4.139
Br -0.279 1.021 5.491
Br 2.280 1.681 0.580
Br 0.888 2.598 9.050
```

## Properties
The density of states at the Fermi level comes out at 11.23 states/eV per cell. Its uncorrected energy is -4.5180 eV per atom. The value obtained for the volume is 36.739 A^3/atom. The spin magnetization comes out at 4.0 μB per formula unit.

=====

Q: Among the records above, which one has the highest uncorrected energy?
A: K2LiNiBr6